#i
DFT (PBEsol) results for a relaxed Zr2HgP crystal.

Properties
* DOS at the Fermi energy: 4.1 states/eV per cell

a b c (Å): 3.179 3.179 7.418
angles (deg): 90.00 90.00 90.00
Fractional coordinates of all 4 atoms:
1 Zr 0.000 0.000 0.709
2 P 0.500 0.500 0.500
3 Zr 0.000 0.000 0.291
4 Hg 0.500 0.500 0.000

---

#ii
DFT (PBEsol) results for a relaxed Zr2HgP crystal.

Properties
* DOS at the Fermi energy: 2.6 states/eV per cell

a b c (Å): 3.100 3.458 7.156
angles (deg): 90.00 98.13 90.00
Fractional coordinates of all 4 atoms:
1 Hg 0.500 0.500 0.000
2 Zr 0.906 0.000 0.718
3 P 0.500 0.500 0.500
4 Zr 0.094 0.000 0.282

---

Short version: #ii, #i, most stable first.

---

#i
DFT (PBEsol) results for a relaxed Zr2HgP crystal.

Properties
* DOS at the Fermi energy: 2.8 states/eV per cell

a b c (Å): 4.722 4.722 4.722
angles (deg): 60.00 60.00 60.00
Fractional coordinates of all 4 atoms:
1 Hg 0.000 0.000 0.000
2 Zr 0.250 0.250 0.250
3 Zr 0.750 0.750 0.750
4 P 0.500 0.500 0.500

---

#ii
DFT (PBEsol) results for a relaxed Zr2HgP crystal.

Properties
* DOS at the Fermi energy: 2.7 states/eV per cell

a b c (Å): 3.537 3.621 7.485
angles (deg): 102.70 90.00 119.24
Fractional coordinates of all 4 atoms:
1 Zr 0.770 0.540 0.800
2 P 0.500 0.000 0.000
3 Zr 0.230 0.460 0.200
4 Hg 0.000 0.000 0.500

---

Short version: #ii, #i, most stable first.

---

#i
DFT (PBEsol) results for a relaxed HgPb4 crystal.

Properties
* DOS at the Fermi energy: 2.1 states/eV per cell

a b c (Å): 3.456 3.456 13.866
angles (deg): 82.84 82.84 60.00
Fractional coordinates of all 5 atoms:
1 Pb 0.201 0.201 0.397
2 Pb 0.799 0.799 0.603
3 Pb 0.604 0.604 0.188
4 Hg 0.000 0.000 0.000
5 Pb 0.396 0.396 0.812

---

#ii
DFT (PBEsol) results for a relaxed HgPb4 crystal.

Properties
* DOS at the Fermi energy: 2.2 states/eV per cell

a b c (Å): 4.527 6.029 6.029
angles (deg): 81.90 67.95 67.95
Fractional coordinates of all 5 atoms:
1 Hg 0.000 0.000 0.000
2 Pb 0.408 0.800 0.385
3 Pb 0.592 0.200 0.615
4 Pb 0.792 0.615 0.800
5 Pb 0.208 0.385 0.200

---

Short version: #ii, #i, most stable first.